VASP calculation (PBE) on a geometry-optimized CaNdFe structure.

POSCAR file:
```
CaNdFe
1.0
3.908 0.000 0.000
0.000 4.196 0.000
0.000 2.098 10.686
Nd Fe Ca
2 2 2
Cartesian
0.977 2.098 9.140
2.931 4.196 1.546
0.977 2.098 0.454
2.931 4.195 10.232
2.931 4.196 6.635
0.977 2.098 4.051
```

## Properties
calculated formation energy: 0.102 eV/atom
calculated density: 4.6 g/cm3
DOS at the Fermi energy: 6.581 states/eV/cell
space-group type: No. 63